A geometry-optimized NdYRhCl structure, computed with GGA-PBE.

Output
The size of the total moment is 0.00 Bohr magnetons per cell. As for the uncorrected formation energy: -4.57 eV/f.u.

Structure (extended XYZ):
```
12
Lattice="4.006 0.000 0.000 -2.003 3.469 0.000 0.000 0.000 22.916" Properties=species:S:1:pos:R:3 pbc="T T T"
Nd 0.000 0.000 0.000
Nd 0.000 2.313 15.278
Nd 2.003 1.156 7.639
Y 0.000 0.000 18.347
Y 0.000 2.313 10.709
Y 2.003 1.156 3.070
Rh 0.000 0.000 9.212
Rh 0.000 2.313 1.574
Rh 2.003 1.156 16.851
Cl 0.000 0.000 5.200
Cl 0.000 2.313 20.478
Cl 2.003 1.156 12.839
```



A geometry-optimized GeP2AuO structure, computed with GGA-PBE.

Output
The size of the total moment is 0.00 Bohr magnetons per cell. As for the uncorrected formation energy: 4.15 eV/f.u.

Structure (extended XYZ):
```
5
Lattice="4.910 0.000 0.000 0.000 4.910 0.000 0.000 0.000 3.938" Properties=species:S:1:pos:R:3 pbc="T T T"
Ge 0.000 0.000 0.000
P 0.000 2.455 1.969
P 2.455 0.000 1.969
Au 2.455 2.455 1.969
O 2.455 2.455 0.000
```



A geometry-optimized Pm4Tl5 structure, computed with GGA-PBE.

Output
The size of the total moment is 0.00 Bohr magnetons per cell. The value obtained for the formation energy from the elements is -6.0 kcal/mol of atoms.

Structure (extended XYZ):
```
9
Lattice="-5.356 5.356 2.342 5.356 -5.356 2.342 5.356 5.356 -2.342" Properties=species:S:1:pos:R:3 pbc="T T T"
Pm 3.331 0.000 0.000
Pm 7.381 0.000 0.000
Pm 0.000 3.331 0.000
Pm 0.000 7.381 0.000
Tl 0.000 0.000 0.000
Tl 3.525 3.525 0.000
Tl 1.831 -1.831 2.342
Tl -1.831 1.831 2.342
Tl 1.831 1.831 2.342
```



A geometry-optimized Nb2CrMoN structure, computed with GGA-PBE.

Output
The size of the total moment is 0.75 Bohr magnetons per cell. As for the uncorrected formation energy: -1.67 eV/f.u.

Structure (extended XYZ):
```
5
Lattice="4.426 0.000 0.000 0.000 4.426 0.000 0.000 0.000 3.624" Properties=species:S:1:pos:R:3 pbc="T T T"
Nb 0.000 2.213 0.000
Nb 2.213 0.000 0.000
Cr 0.000 0.000 1.812
Mo 2.213 2.213 1.812
N 0.000 0.000 0.000
```



A geometry-optimized Ca3Sn4Hg2 structure, computed with GGA-PBE.

Output
The size of the total moment is 0.00 Bohr magnetons per cell. The value obtained for the formation energy from the elements is -10.4 kcal/mol of atoms.

Structure (extended XYZ):
```
9
Lattice="6.048 -2.388 0.000 6.048 2.388 0.000 -2.447 0.000 8.847" Properties=species:S:1:pos:R:3 pbc="T T T"
Ca 0.000 0.000 0.000
Ca 3.683 0.000 2.762
Ca 5.966 0.000 6.086
Sn -0.208 0.000 3.351
Sn 1.359 0.000 8.392
Sn 8.290 0.000 0.456
Sn 9.857 0.000 5.496
Hg 2.127 0.000 5.599
Hg 7.521 0.000 3.248
```



A geometry-optimized LiAgPb structure, computed with GGA-PBE.

Output
The size of the total moment is 0.00 Bohr magnetons per cell. The value obtained for the formation energy from the elements is -0.7 kcal/mol of atoms.

Structure (extended XYZ):
```
3
Lattice="3.419 0.000 0.000 0.000 4.118 0.000 -0.043 0.000 4.724" Properties=species:S:1:pos:R:3 pbc="T T T"
Li 0.000 0.000 0.000
Ag 1.709 2.059 0.000
Pb 1.688 0.000 2.362
```



A geometry-optimized Al2HgPd9 structure, computed with GGA-PBE.

Output
The size of the total moment is 0.00 Bohr magnetons per cell. The value obtained for the formation energy from the elements is -10.0 kcal/mol of atoms.

Structure (extended XYZ):
```
12
Lattice="3.955 0.000 0.000 0.000 3.955 0.000 0.000 0.000 11.900" Properties=species:S:1:pos:R:3 pbc="T T T"
Al 0.000 0.000 1.959
Al 0.000 0.000 9.940
Hg 0.000 0.000 5.950
Pd 0.000 1.977 0.000
Pd 0.000 1.977 3.804
Pd 0.000 1.977 8.095
Pd 1.977 0.000 0.000
Pd 1.977 0.000 3.804
Pd 1.977 0.000 8.095
Pd 1.977 1.977 1.896
Pd 1.977 1.977 5.950
Pd 1.977 1.977 10.003
```



A geometry-optimized AcTbSm2Se6 structure, computed with GGA-PBE.

Output
The size of the total moment is 0.00 Bohr magnetons per cell. As for the uncorrected formation energy: -18.75 eV/f.u.

Structure (extended XYZ):
```
10
Lattice="3.740 2.159 6.608 -3.740 2.159 6.608 0.000 -4.318 6.608" Properties=species:S:1:pos:R:3 pbc="T T T"
Ac 0.000 0.000 0.000
Tb 0.000 0.000 9.695
Sm 0.000 0.000 5.708
Sm 0.000 0.000 15.759
Se -2.160 -0.206 7.738
Se -1.434 -2.133 11.030
Se 1.258 -1.767 7.738
Se -1.130 2.308 11.030
Se 0.902 1.973 7.738
Se 2.564 -0.175 11.030
```



A geometry-optimized KTeRh2 structure, computed with GGA-PBE.

Output
The size of the total moment is 6.53 Bohr magnetons per cell. As for the uncorrected formation energy: 2.17 eV/f.u.

Structure (extended XYZ):
```
16
Lattice="6.879 0.000 0.000 0.000 6.879 0.000 0.000 0.000 6.879" Properties=species:S:1:pos:R:3 pbc="T T T"
K 0.000 0.000 0.000
K 0.000 3.440 3.440
K 3.440 0.000 3.440
K 3.440 3.440 0.000
Te 1.720 1.720 1.720
Te 1.720 5.160 5.160
Te 5.160 1.720 5.160
Te 5.160 5.160 1.720
Rh 0.000 0.000 3.440
Rh 0.000 3.440 0.000
Rh 1.720 1.720 5.160
Rh 1.720 5.160 1.720
Rh 3.440 0.000 0.000
Rh 3.440 3.440 3.440
Rh 5.160 1.720 1.720
Rh 5.160 5.160 5.160
```



A geometry-optimized VCuGeRh structure, computed with GGA-PBE.

Output
The size of the total moment is 6.43 Bohr magnetons per cell. The value obtained for the formation energy from the elements is -4.5 kcal/mol of atoms.

Structure (extended XYZ):
```
16
Lattice="6.020 0.000 0.000 0.000 6.020 0.000 0.000 0.000 6.020" Properties=species:S:1:pos:R:3 pbc="T T T"
V 0.000 0.000 0.000
V 0.000 3.010 3.010
V 3.010 0.000 3.010
V 3.010 3.010 0.000
Cu 1.505 1.505 1.505
Cu 1.505 4.515 4.515
Cu 4.515 1.505 4.515
Cu 4.515 4.515 1.505
Ge 1.505 1.505 4.515
Ge 1.505 4.515 1.505
Ge 4.515 1.505 1.505
Ge 4.515 4.515 4.515
Rh 0.000 0.000 3.010
Rh 0.000 3.010 0.000
Rh 3.010 0.000 0.000
Rh 3.010 3.010 3.010
```



A geometry-optimized Zr2InSb structure, computed with GGA-PBE.

Output
The size of the total moment is 0.00 Bohr magnetons per cell. As for the uncorrected formation energy: -1.55 eV/f.u.

Structure (extended XYZ):
```
4
Lattice="3.282 0.000 0.000 0.000 4.257 0.000 -1.123 0.000 6.490" Properties=species:S:1:pos:R:3 pbc="T T T"
Zr -0.132 0.000 1.632
Zr 2.291 0.000 4.858
In 1.641 2.129 0.000
Sb 1.079 2.129 3.245
```



A geometry-optimized Nd4NpS5 structure, computed with GGA-PBE.

Output
The size of the total moment is 4.42 Bohr magnetons per cell. As for the uncorrected formation energy: -18.88 eV/f.u.

Structure (extended XYZ):
```
10
Lattice="-2.019 2.019 14.304 2.019 -2.019 14.304 2.019 2.019 -14.304" Properties=species:S:1:pos:R:3 pbc="T T T"
Nd 0.000 0.000 2.852
Nd 0.000 0.000 8.652
Nd 0.000 0.000 19.956
Nd 0.000 0.000 25.757
Np 0.000 0.000 14.304
S 0.000 0.000 0.000
S 0.000 0.000 5.747
S 0.000 0.000 11.515
S 0.000 0.000 17.093
S 0.000 0.000 22.861
```